TmPaFe2O8 | PBE+U | optimized geometry

Summary:
Space-group type ... I-4m2
Crystal system ... tetragonal
Energy ... -7.678 eV per atom
Volume ... 13.56 A^3/atom

a = 5.9627 Å, b = 5.9627 Å, c = 5.9627 Å
α = 107.75°, β = 107.75°, γ = 112.97°
Last column: nearest neighbours and their distance in Å.
Element x y z (fractional)
Tm 0.0000 0.0000 0.0000  8 O 2.29-2.40
Pa 0.7500 0.2500 0.5000  8 O 2.19-2.41
Fe 0.2500 0.7500 0.5000  4 O 1.77
Fe 0.5000 0.5000 0.0000  4 O 1.88
O 0.0623 0.3824 0.3202  1 Fe 1.77
O 0.0623 0.7421 0.6798  1 Fe 1.77
O 0.1090 0.3009 0.8081  1 Fe 1.88
O 0.2579 0.9377 0.3202  1 Fe 1.77
O 0.4928 0.3009 0.1919  1 Fe 1.88
O 0.6176 0.9377 0.6798  1 Fe 1.77
O 0.6991 0.5072 0.8081  1 Fe 1.88
O 0.6991 0.8910 0.1919  1 Fe 1.88